Here is a relaxed Li2MnO3 crystal from Alexandria. Energies are from PBE+U.

The space group is C2/m (No. 12) and the conventional cell measures 15.090, 2.899 and 5.069 Å, with angles of 90.00, 108.11 and 90.00 degrees. The inequivalent atoms are Li at (0.000, 0.000, 0.000), Li at (0.000, 0.500, 0.500), Li at (0.160, 0.000, 0.480), Mn at (0.162, 0.500, 0.004), O at (0.091, 0.500, 0.235), O at (0.094, 0.000, 0.775) and O at (0.243, 0.000, 0.212).

The value obtained for the total magnetization is 12.00 μB/cell. As for the uncorrected energy: -6.123 eV per atom.